# 1
## BaBe2As2 (PBEsol)

Data for an optimized crystal structure of BaBe2As2.

The volume comes out at 193.6 Å³/cell. The calculation puts the total energy at -4.699 eV per atom. The calculation puts the magnetization at 0.00 μB/atom.

Unit cell a=3.847 b=3.847 c=13.078 alpha=90.00 beta=90.00 gamma=90.00
Element x y z (fractional)
Ba: 0.000 0.000 0.000
Ba: 0.500 0.500 0.500
Be: 0.000 0.500 0.250
Be: 0.000 0.500 0.750
Be: 0.500 0.000 0.250
Be: 0.500 0.000 0.750
As: 0.000 0.000 0.350
As: 0.000 0.000 0.650
As: 0.500 0.500 0.150
As: 0.500 0.500 0.850

***

# 2
## Ba2BeAsIr (PBEsol)

Data for an optimized crystal structure of Ba2BeAsIr.

The volume comes out at 171.6 Å³/cell. The calculation puts the total energy at -4.381 eV per atom. The calculation puts the magnetization at 0.00 μB/atom.

Unit cell a=6.188 b=6.188 c=4.481 alpha=90.00 beta=90.00 gamma=90.00
Element x y z (fractional)
Ba: 0.000 0.500 0.000
Ba: 0.500 0.000 0.000
Be: 0.000 0.000 0.500
As: 0.500 0.500 0.000
Ir: 0.500 0.500 0.500

***

# 3
## Ba3BiAs (PBEsol)

Data for an optimized crystal structure of Ba3BiAs.

The volume comes out at 232.3 Å³/cell. The calculation puts the total energy at -3.964 eV per atom. The calculation puts the magnetization at 0.00 μB/atom.

Unit cell a=6.147 b=6.147 c=6.147 alpha=90.00 beta=90.00 gamma=90.00
Element x y z (fractional)
Ba: 0.000 0.000 0.500
Ba: 0.000 0.500 0.000
Ba: 0.500 0.000 0.000
Bi: 0.500 0.500 0.500
As: 0.000 0.000 0.000

***

# 4
## Ba2BiAs2 (PBEsol)

Data for an optimized crystal structure of Ba2BiAs2.

The volume comes out at 307.8 Å³/cell. The calculation puts the total energy at -4.624 eV per atom. The calculation puts the magnetization at 0.00 μB/atom.

Unit cell a=8.020 b=8.020 c=4.786 alpha=90.00 beta=90.00 gamma=90.00
Element x y z (fractional)
Ba: 0.181 0.319 0.000
Ba: 0.319 0.819 0.000
Ba: 0.681 0.181 0.000
Ba: 0.819 0.681 0.000
Bi: 0.000 0.000 0.500
Bi: 0.500 0.500 0.500
As: 0.112 0.612 0.500
As: 0.388 0.112 0.500
As: 0.612 0.888 0.500
As: 0.888 0.388 0.500

***

# 5
## BaBiAs2Br (PBEsol)

Data for an optimized crystal structure of BaBiAs2Br.

The volume comes out at 188.7 Å³/cell. The calculation puts the total energy at -3.091 eV per atom. The calculation puts the magnetization at 0.02 μB/atom. The value obtained for the uncorrected formation energy is 612 meV per atom.

Unit cell a=5.741 b=5.741 c=5.726 alpha=90.00 beta=90.00 gamma=90.00
Element x y z (fractional)
Ba: 0.000 0.000 0.000
Bi: 0.500 0.500 0.500
As: 0.000 0.500 0.000
As: 0.500 0.000 0.000
Br: 0.000 0.000 0.500

***

# 6
## BaNaBiAs2 (PBEsol)

Data for an optimized crystal structure of BaNaBiAs2.

The volume comes out at 195.0 Å³/cell. The calculation puts the total energy at -3.319 eV per atom. The calculation puts the magnetization at 0.00 μB/atom.

Unit cell a=5.585 b=5.585 c=6.253 alpha=90.00 beta=90.00 gamma=90.00
Element x y z (fractional)
Ba: 0.000 0.000 0.000
Na: 0.500 0.500 0.000
Bi: 0.000 0.000 0.500
As: 0.000 0.500 0.500
As: 0.500 0.000 0.500

***

# 7
## BaBiAsSe2 (PBEsol)

Data for an optimized crystal structure of BaBiAsSe2.

The volume comes out at 162.2 Å³/cell. The calculation puts the total energy at -4.248 eV per atom. The calculation puts the magnetization at 0.00 μB/atom. The value obtained for the uncorrected formation energy is -400 meV per atom.

Unit cell a=5.506 b=5.506 c=5.351 alpha=90.00 beta=90.00 gamma=90.00
Element x y z (fractional)
Ba: 0.000 0.000 0.000
Bi: 0.500 0.500 0.500
As: 0.500 0.500 0.000
Se: 0.000 0.500 0.500
Se: 0.500 0.000 0.500

***

# 8
## Ba3AsBr (PBEsol)

Data for an optimized crystal structure of Ba3AsBr.

The volume comes out at 211.0 Å³/cell. The calculation puts the total energy at -3.271 eV per atom. The calculation puts the magnetization at 0.00 μB/atom. The value obtained for the uncorrected formation energy is -586 meV per atom.

Unit cell a=5.953 b=5.953 c=5.953 alpha=90.00 beta=90.00 gamma=90.00
Element x y z (fractional)
Ba: 0.000 0.000 0.500
Ba: 0.000 0.500 0.000
Ba: 0.500 0.000 0.000
As: 0.500 0.500 0.500
Br: 0.000 0.000 0.000

***

# 9
## BaAs2Br (PBEsol)

Data for an optimized crystal structure of BaAs2Br.

The volume comes out at 135.5 Å³/cell. The calculation puts the total energy at -4.165 eV per atom. As for the relative energy among the computed polymorphs: 0 meV/atom. The calculation puts the magnetization at 0.00 μB/atom. The value obtained for the uncorrected formation energy is -607 meV per atom.

Unit cell a=4.677 b=4.677 c=6.195 alpha=90.00 beta=90.00 gamma=90.00
Element x y z (fractional)
Ba: 0.000 0.000 0.000
As: 0.500 0.500 0.182
As: 0.500 0.500 0.818
Br: 0.000 0.000 0.500

***

# 10
## BaAsBr2 (PBEsol)

Data for an optimized crystal structure of BaAsBr2.

The volume comes out at 370.7 Å³/cell. The calculation puts the total energy at -2.772 eV per atom. As for the relative energy among the computed polymorphs: 877 meV/atom. The calculation puts the magnetization at 0.00 μB/atom. The value obtained for the uncorrected formation energy is -23 meV per atom.

Unit cell a=3.687 b=3.687 c=31.493 alpha=90.00 beta=90.00 gamma=120.00
Element x y z (fractional)
Ba: 0.000 0.000 0.000
Ba: 0.333 0.667 0.667
Ba: 0.667 0.333 0.333
As: 0.000 0.000 0.500
As: 0.333 0.667 0.167
As: 0.667 0.333 0.833
Br: 0.000 0.000 0.097
Br: 0.000 0.000 0.903
Br: 0.333 0.667 0.570
Br: 0.333 0.667 0.764
Br: 0.667 0.333 0.236
Br: 0.667 0.333 0.430

***

# 11
## BaAsBr2 (PBEsol)

Data for an optimized crystal structure of BaAsBr2.

The volume comes out at 523.2 Å³/cell. The calculation puts the total energy at -3.580 eV per atom. As for the relative energy among the computed polymorphs: 68 meV/atom. The calculation puts the magnetization at 0.00 μB/atom. The value obtained for the uncorrected formation energy is -831 meV per atom.

Unit cell a=5.153 b=5.153 c=19.702 alpha=90.00 beta=90.00 gamma=90.00
Element x y z (fractional)
Ba: 0.000 0.000 0.000
Ba: 0.000 0.500 0.250
Ba: 0.500 0.000 0.750
Ba: 0.500 0.500 0.500
As: 0.000 0.000 0.500
As: 0.000 0.500 0.750
As: 0.500 0.000 0.250
As: 0.500 0.500 0.000
Br: 0.206 0.250 0.625
Br: 0.250 0.706 0.875
Br: 0.250 0.794 0.375
Br: 0.294 0.250 0.125
Br: 0.706 0.750 0.125
Br: 0.750 0.206 0.375
Br: 0.750 0.294 0.875
Br: 0.794 0.750 0.625

***

# 12
## BaAs4Br (PBEsol)

Data for an optimized crystal structure of BaAs4Br.

The volume comes out at 150.6 Å³/cell. The calculation puts the total energy at -4.532 eV per atom. The calculation puts the magnetization at 0.00 μB/atom. The value obtained for the uncorrected formation energy is -458 meV per atom.

Unit cell a=5.972 b=5.972 c=5.972 alpha=60.00 beta=60.00 gamma=60.00
Element x y z (fractional)
Ba: 0.000 0.000 0.000
As: 0.394 0.394 0.394
As: 0.394 0.394 0.818
As: 0.394 0.818 0.394
As: 0.818 0.394 0.394
Br: 0.750 0.750 0.750

***

# 13
## BaAsBr2 (PBEsol)

Data for an optimized crystal structure of BaAsBr2.

The volume comes out at 484.4 Å³/cell. The calculation puts the total energy at -3.608 eV per atom. As for the relative energy among the computed polymorphs: 40 meV/atom. The calculation puts the magnetization at 0.75 μB/atom. The value obtained for the uncorrected formation energy is -859 meV per atom.

Unit cell a=7.853 b=7.853 c=7.853 alpha=90.00 beta=90.00 gamma=90.00
Element x y z (fractional)
Ba: 0.000 0.000 0.000
Ba: 0.000 0.500 0.500
Ba: 0.500 0.000 0.500
Ba: 0.500 0.500 0.000
As: 0.000 0.000 0.500
As: 0.000 0.500 0.000
As: 0.500 0.000 0.000
As: 0.500 0.500 0.500
Br: 0.250 0.250 0.250
Br: 0.250 0.250 0.750
Br: 0.250 0.750 0.250
Br: 0.250 0.750 0.750
Br: 0.750 0.250 0.250
Br: 0.750 0.250 0.750
Br: 0.750 0.750 0.250
Br: 0.750 0.750 0.750

***

# 14
## BaAs2Br (PBEsol)

Data for an optimized crystal structure of BaAs2Br.

The volume comes out at 239.6 Å³/cell. The calculation puts the total energy at -3.889 eV per atom. As for the relative energy among the computed polymorphs: 277 meV/atom. The calculation puts the magnetization at 0.00 μB/atom. The value obtained for the uncorrected formation energy is -331 meV per atom.

Unit cell a=5.564 b=7.035 c=6.120 alpha=90.00 beta=90.00 gamma=90.00
Element x y z (fractional)
Ba: 0.000 0.000 0.000
Ba: 0.500 0.500 0.000
As: 0.000 0.500 0.309
As: 0.000 0.500 0.691
As: 0.500 0.000 0.309
As: 0.500 0.000 0.691
Br: 0.000 0.000 0.500
Br: 0.500 0.500 0.500

***

# 15
## BaAsBr2 (PBEsol)

Data for an optimized crystal structure of BaAsBr2.

The volume comes out at 109.2 Å³/cell. The calculation puts the total energy at -3.648 eV per atom. As for the relative energy among the computed polymorphs: 0 meV/atom. The calculation puts the magnetization at 0.00 μB/atom. The value obtained for the uncorrected formation energy is -900 meV per atom.

Unit cell a=4.995 b=4.995 c=4.378 alpha=90.00 beta=90.00 gamma=90.00
Element x y z (fractional)
Ba: 0.000 0.000 0.000
As: 0.500 0.500 0.000
Br: 0.000 0.500 0.500
Br: 0.500 0.000 0.500

***

# 16
## BaAs2BrF (PBEsol)

Data for an optimized crystal structure of BaAs2BrF.

The volume comes out at 121.0 Å³/cell. The calculation puts the total energy at -4.041 eV per atom. The calculation puts the magnetization at 0.00 μB/atom. The value obtained for the uncorrected formation energy is -809 meV per atom.

Unit cell a=4.449 b=4.449 c=6.114 alpha=90.00 beta=90.00 gamma=90.00
Element x y z (fractional)
Ba: 0.000 0.000 0.000
As: 0.000 0.500 0.500
As: 0.500 0.000 0.500
Br: 0.500 0.500 0.000
F: 0.500 0.500 0.500

***

# 17
## BaHfAsBr2 (PBEsol)

Data for an optimized crystal structure of BaHfAsBr2.

The volume comes out at 207.3 Å³/cell. The calculation puts the total energy at -3.827 eV per atom. The calculation puts the magnetization at 0.24 μB/atom. The value obtained for the uncorrected formation energy is 473 meV per atom.

Unit cell a=5.808 b=5.808 c=6.144 alpha=90.00 beta=90.00 gamma=90.00
Element x y z (fractional)
Ba: 0.000 0.000 0.000
Hf: 0.500 0.500 0.500
As: 0.000 0.000 0.500
Br: 0.000 0.500 0.000
Br: 0.500 0.000 0.000

***

# 18
## KBaAsBr2 (PBEsol)

Data for an optimized crystal structure of KBaAsBr2.

The volume comes out at 244.7 Å³/cell. The calculation puts the total energy at -3.337 eV per atom. The calculation puts the magnetization at 0.40 μB/atom. The value obtained for the uncorrected formation energy is -911 meV per atom.

Unit cell a=6.210 b=6.210 c=6.347 alpha=90.00 beta=90.00 gamma=90.00
Element x y z (fractional)
K: 0.000 0.000 0.000
Ba: 0.500 0.500 0.500
As: 0.500 0.500 0.000
Br: 0.000 0.500 0.500
Br: 0.500 0.000 0.500

***

# 19
## BaLaAs2Br (PBEsol)

Data for an optimized crystal structure of BaLaAs2Br.

The volume comes out at 176.4 Å³/cell. The calculation puts the total energy at -4.815 eV per atom. The calculation puts the magnetization at 0.00 μB/atom. The value obtained for the uncorrected formation energy is -899 meV per atom.

Unit cell a=5.550 b=5.550 c=5.727 alpha=90.00 beta=90.00 gamma=90.00
Element x y z (fractional)
Ba: 0.000 0.000 0.000
La: 0.500 0.500 0.500
As: 0.000 0.500 0.500
As: 0.500 0.000 0.500
Br: 0.500 0.500 0.000

***

# 20
## BaLaAsBr2 (PBEsol)

Data for an optimized crystal structure of BaLaAsBr2.

The volume comes out at 204.6 Å³/cell. The calculation puts the total energy at -3.892 eV per atom. The calculation puts the magnetization at 0.06 μB/atom. The value obtained for the uncorrected formation energy is -623 meV per atom.

Unit cell a=5.755 b=5.755 c=6.179 alpha=90.00 beta=90.00 gamma=90.00
Element x y z (fractional)
Ba: 0.000 0.000 0.000
La: 0.500 0.500 0.500
As: 0.000 0.000 0.500
Br: 0.000 0.500 0.000
Br: 0.500 0.000 0.000